K12Te3I5 | PBE | relaxed

The formation energy from raw total energies comes out at -1101 meV per atom. As for the density: 2.31 g/cm3.

The structure belongs to space group Ia-3d (No. 230); the cell edges are 20.4538, 20.4538 and 20.4538 Å and the angles 90.00°, 90.00° and 90.00°. The asymmetric unit holds K at (0.0135, 0.0746, 0.6558), Te at (0.0000, 0.2500, 0.1250), I at (0.0000, 0.0000, 0.0000) and I at (0.0000, 0.2500, 0.3750).


K2TeI | PBE | relaxed

The formation energy from raw total energies comes out at -1005 meV per atom. As for the density: 3.63 g/cm3.

The structure belongs to space group P4/mmm (No. 123); the cell edges are 4.0589, 4.0589 and 9.2487 Å and the angles 90.00°, 90.00° and 90.00°. The asymmetric unit holds K at (0.0000, 0.0000, 0.2379), Te at (0.5000, 0.5000, 0.5000) and I at (0.5000, 0.5000, 0.0000).


KTe2I | PBE | relaxed

The formation energy from raw total energies comes out at -41 meV per atom. As for the density: 3.21 g/cm3.

The structure belongs to space group I-42d (No. 122); the cell edges are 7.0744, 7.0744 and 17.4154 Å and the angles 90.00°, 90.00° and 90.00°. The asymmetric unit holds K at (0.0000, 0.0000, 0.0000), Te at (0.1559, 0.2500, 0.6250) and I at (0.0000, 0.0000, 0.5000).


K2Te2I | PBE | relaxed

The formation energy from raw total energies comes out at -749 meV per atom. As for the density: 3.29 g/cm3.

The structure belongs to space group P4/mbm (No. 127); the cell edges are 9.3429, 9.3429 and 5.3307 Å and the angles 90.00°, 90.00° and 90.00°. The asymmetric unit holds K at (0.1784, 0.3216, 0.0000), Te at (0.1023, 0.6023, 0.5000) and I at (0.0000, 0.0000, 0.0000).


KTe2I | PBE | relaxed

The formation energy from raw total energies comes out at -64 meV per atom. As for the density: 4.43 g/cm3.

The structure belongs to space group R-3m (No. 166, hexagonal axes); the cell edges are 4.0848, 4.0848 and 32.7701 Å and the angles 90.00°, 90.00° and 120.00°. The asymmetric unit holds K at (0.0000, 0.0000, 0.0000), Te at (0.0000, 0.0000, 0.4121) and I at (0.0000, 0.0000, 0.5000).


K2TeI | PBE | relaxed

The formation energy from raw total energies comes out at -880 meV per atom. As for the density: 3.38 g/cm3.

The structure belongs to space group I-42d (No. 122); the cell edges are 9.4707, 9.4707 and 7.2858 Å and the angles 90.00°, 90.00° and 90.00°. The asymmetric unit holds K at (0.2469, 0.7500, 0.1250), Te at (0.0000, 0.0000, 0.0000) and I at (0.0000, 0.0000, 0.5000).


K2TeI | PBE | relaxed

The formation energy from raw total energies comes out at -1088 meV per atom. As for the density: 3.43 g/cm3.

The structure belongs to space group P2_1/m (No. 11); the cell edges are 7.4728, 5.9147 and 7.4870 Å and the angles 90.00°, 103.26° and 90.00°. The asymmetric unit holds K at (0.0852, 0.2500, 0.3608), K at (0.3606, 0.7500, 0.0860), Te at (0.4538, 0.7500, 0.5461) and I at (0.1396, 0.2500, 0.8606).


KTeI2 | PBE | relaxed

The formation energy from raw total energies comes out at -452 meV per atom. As for the density: 3.39 g/cm3.

The structure belongs to space group I-42d (No. 122); the cell edges are 6.4002, 6.4002 and 20.0903 Å and the angles 90.00°, 90.00° and 90.00°. The asymmetric unit holds K at (0.0000, 0.0000, 0.0000), Te at (0.0000, 0.0000, 0.5000) and I at (0.1798, 0.2500, 0.6250).


KTeI2 | PBE | relaxed

The formation energy from raw total energies comes out at -300 meV per atom. As for the density: 4.38 g/cm3.

The structure belongs to space group Fm-3m (No. 225); the cell edges are 8.6097, 8.6097 and 8.6097 Å and the angles 90.00°, 90.00° and 90.00°. The asymmetric unit holds K at (0.0000, 0.0000, 0.0000), Te at (0.0000, 0.0000, 0.5000) and I at (0.2500, 0.2500, 0.2500).


KTe2I8 | PBE | relaxed

The formation energy from raw total energies comes out at -269 meV per atom. As for the density: 3.75 g/cm3.

The structure belongs to space group C2/m (No. 12); the cell edges are 13.5137, 10.1469 and 9.4031 Å and the angles 90.00°, 115.92° and 90.00°. The asymmetric unit holds K at (0.0000, 0.0000, 0.0000), Te at (0.1385, 0.0000, 0.6345), I at (0.0903, 0.2267, 0.7743), I at (0.1192, 0.5000, 0.1196) and I at (0.2204, 0.0000, 0.3931).


K2TeI8 | PBE | relaxed

The formation energy from raw total energies comes out at -489 meV per atom. As for the density: 3.29 g/cm3.

The structure belongs to space group C2/m (No. 12); the cell edges are 14.8370, 13.1947 and 6.5686 Å and the angles 90.00°, 106.72° and 90.00°. The asymmetric unit holds K at (0.2228, 0.0000, 0.1222), Te at (0.0000, 0.5000, 0.0000), I at (0.0040, 0.0000, 0.2573), I at (0.0758, 0.3365, 0.7860) and I at (0.1896, 0.5000, 0.3190).


KTe2I | PBE | relaxed

The formation energy from raw total energies comes out at 111 meV per atom. As for the density: 4.92 g/cm3.

The structure belongs to space group Fm-3m (No. 225); the cell edges are 8.2848, 8.2848 and 8.2848 Å and the angles 90.00°, 90.00° and 90.00°. The asymmetric unit holds K at (0.0000, 0.0000, 0.0000), Te at (0.2500, 0.2500, 0.2500) and I at (0.0000, 0.0000, 0.5000).


KTe2I2 | PBE | relaxed

The formation energy from raw total energies comes out at -307 meV per atom. As for the density: 3.90 g/cm3.

The structure belongs to space group I4/mmm (No. 139); the cell edges are 6.6565, 6.6565 and 10.5209 Å and the angles 90.00°, 90.00° and 90.00°. The asymmetric unit holds K at (0.0000, 0.0000, 0.0000), Te at (0.0000, 0.0000, 0.3783) and I at (0.0000, 0.5000, 0.2500).


KTeI | PBE | relaxed

The formation energy from raw total energies comes out at -860 meV per atom. As for the density: 3.49 g/cm3.

The structure belongs to space group P-1 (No. 2); the cell edges are 4.7346, 5.1171 and 11.5701 Å and the angles 85.85°, 89.97° and 89.99°. The asymmetric unit holds K at (0.2491, 0.2264, 0.1500), Te at (0.2500, 0.8806, 0.4657) and I at (0.2512, 0.2765, 0.8394).


K10Te4I | PBE | relaxed

The formation energy from raw total energies comes out at -980 meV per atom. As for the density: 2.34 g/cm3.

The structure belongs to space group R-3m (No. 166, hexagonal axes); the cell edges are 5.8715, 5.8715 and 73.1933 Å and the angles 90.00°, 90.00° and 120.00°. The asymmetric unit holds K at (0.0000, 0.0000, 0.0479), K at (0.0000, 0.0000, 0.1455), K at (0.0000, 0.0000, 0.2529), K at (0.0000, 0.0000, 0.3496), K at (0.0000, 0.0000, 0.4443), Te at (0.0000, 0.0000, 0.0972), Te at (0.0000, 0.0000, 0.3011) and I at (0.0000, 0.0000, 0.5000).


K2Te2I | PBE | relaxed

The formation energy from raw total energies comes out at -754 meV per atom. As for the density: 3.36 g/cm3.

The structure belongs to space group I4/mmm (No. 139); the cell edges are 6.7466, 6.7466 and 9.9817 Å and the angles 90.00°, 90.00° and 90.00°. The asymmetric unit holds K at (0.0000, 0.5000, 0.2500), Te at (0.0000, 0.0000, 0.1364) and I at (0.0000, 0.0000, 0.5000).


KTe2I8 | PBE | relaxed

The formation energy from raw total energies comes out at -338 meV per atom. As for the density: 4.02 g/cm3.

The structure belongs to space group P-1 (No. 2); the cell edges are 6.1816, 9.6137 and 9.7536 Å and the angles 80.03°, 71.79° and 89.88°. The asymmetric unit holds K at (0.0000, 0.0000, 0.0000), Te at (0.3984, 0.3204, 0.2074), I at (0.0923, 0.6823, 0.8115), I at (0.2494, 0.3194, 0.5086), I at (0.3866, 0.0149, 0.2314) and I at (0.4283, 0.6482, 0.1438).


K2Te2I | PBE | relaxed

The formation energy from raw total energies comes out at -744 meV per atom. As for the density: 3.65 g/cm3.

The structure belongs to space group P4/mbm (No. 127); the cell edges are 9.2008, 9.2008 and 4.9436 Å and the angles 90.00°, 90.00° and 90.00°. The asymmetric unit holds K at (0.1866, 0.3134, 0.0000), Te at (0.1049, 0.6049, 0.5000) and I at (0.0000, 0.0000, 0.5000).


KTiTeI2 | PBE | relaxed

The formation energy from raw total energies comes out at 550 meV per atom. As for the density: 3.28 g/cm3.

The structure belongs to space group P4/mmm (No. 123); the cell edges are 6.1692, 6.1692 and 6.2343 Å and the angles 90.00°, 90.00° and 90.00°. The asymmetric unit holds K at (0.0000, 0.0000, 0.0000), Ti at (0.5000, 0.5000, 0.5000), Te at (0.0000, 0.0000, 0.5000) and I at (0.0000, 0.5000, 0.0000).


KTiTe2I | PBE | relaxed

The formation energy from raw total energies comes out at 980 meV per atom. As for the density: 3.66 g/cm3.

The structure belongs to space group P4/mmm (No. 123); the cell edges are 5.9381, 5.9381 and 6.0369 Å and the angles 90.00°, 90.00° and 90.00°. The asymmetric unit holds K at (0.0000, 0.0000, 0.0000), Ti at (0.5000, 0.5000, 0.5000), Te at (0.0000, 0.5000, 0.0000) and I at (0.0000, 0.0000, 0.5000).